Entry 1:
A plane-wave DFT calculation with PBE was carried out for a relaxed structure of MgTePd3.

As for the energy above the most stable polymorph in this dataset: 53.1 kJ per mole of atoms.

The structure belongs to space group Pm-3m (No. 221); the cell edges are 4.947, 4.947 and 4.947 Å and the angles 90.00°, 90.00° and 90.00°. Symmetry generates all atoms from Mg at (0.000, 0.000, 0.000), Te at (0.500, 0.500, 0.500) and Pd at (0.000, 0.500, 0.500).

=====

Entry 2:
A plane-wave DFT calculation with PBE was carried out for a relaxed structure of MgTePd5.

The raw total energy comes out at -4.68 eV per atom.

The structure belongs to space group C2/c (No. 15); the cell edges are 8.946, 5.552 and 9.988 Å and the angles 90.00°, 98.49° and 90.00°. Symmetry generates all atoms from Mg at (0.000, 0.124, 0.250), Te at (0.000, 0.500, 0.000), Pd at (0.000, 0.370, 0.750), Pd at (0.148, 0.097, 0.557) and Pd at (0.239, 0.359, 0.160).

=====

Entry 3:
A plane-wave DFT calculation with PBE was carried out for a relaxed structure of MgTePd14.

The raw total energy comes out at -5.02 eV per atom.

The structure belongs to space group P4/mmm (No. 123); the cell edges are 5.696, 5.696 and 7.782 Å and the angles 90.00°, 90.00° and 90.00°. Symmetry generates all atoms from Mg at (0.000, 0.000, 0.000), Te at (0.500, 0.500, 0.000), Pd at (0.000, 0.000, 0.500), Pd at (0.000, 0.500, 0.000), Pd at (0.000, 0.500, 0.500), Pd at (0.249, 0.249, 0.250) and Pd at (0.500, 0.500, 0.500).

=====

Entry 4:
A plane-wave DFT calculation with PBE was carried out for a relaxed structure of MgTe3Pd2.

The raw total energy comes out at -4.00 eV per atom.

The structure belongs to space group P-3m1 (No. 164); the cell edges are 8.0962, 8.0962 and 5.2017 Å and the angles 90.00°, 90.00° and 120.00°. Symmetry generates all atoms from Mg at (0.3333, 0.6667, 0.1932), Te at (0.1751, 0.3501, 0.7583), Pd at (0.0000, 0.0000, 0.5000) and Pd at (0.0000, 0.5000, 0.5000).

=====

Entry 5:
A plane-wave DFT calculation with PBE was carried out for a relaxed structure of Mg2TePd.

The raw total energy comes out at -3.13 eV per atom.

The structure belongs to space group I-42d (No. 122); the cell edges are 6.276, 6.276 and 12.312 Å and the angles 90.00°, 90.00° and 90.00°. Symmetry generates all atoms from Mg at (0.222, 0.250, 0.125), Te at (0.000, 0.000, 0.500) and Pd at (0.000, 0.000, 0.000).

=====

Entry 6:
A plane-wave DFT calculation with PBE was carried out for a relaxed structure of MgTe3Pd.

As for the energy above the most stable polymorph in this dataset: 0.0 kJ per mole of atoms.

The structure belongs to space group Pm-3m (No. 221); the cell edges are 5.318, 5.318 and 5.318 Å and the angles 90.00°, 90.00° and 90.00°. Symmetry generates all atoms from Mg at (0.000, 0.000, 0.000), Te at (0.000, 0.500, 0.500) and Pd at (0.500, 0.500, 0.500).

=====

Entry 7:
A plane-wave DFT calculation with PBE was carried out for a relaxed structure of Mg3TePd.

As for the energy above the most stable polymorph in this dataset: 0.0 kJ per mole of atoms.

The structure belongs to space group Pm-3m (No. 221); the cell edges are 5.024, 5.024 and 5.024 Å and the angles 90.00°, 90.00° and 90.00°. Symmetry generates all atoms from Mg at (0.000, 0.000, 0.500), Te at (0.500, 0.500, 0.500) and Pd at (0.000, 0.000, 0.000).

=====

Entry 8:
A plane-wave DFT calculation with PBE was carried out for a relaxed structure of MgTePd4.

As for the energy above the most stable polymorph in this dataset: 55.0 kJ per mole of atoms.

The structure belongs to space group I4_1md (No. 109); the cell edges are 7.825, 7.825 and 8.668 Å and the angles 90.00°, 90.00° and 90.00°. Symmetry generates all atoms from Mg at (0.000, 0.000, 0.000), Te at (0.000, 0.000, 0.496), Pd at (0.000, 0.176, 0.749) and Pd at (0.000, 0.183, 0.247).

=====

Entry 9:
A plane-wave DFT calculation with PBE was carried out for a relaxed structure of MgTePd4.

As for the energy above the most stable polymorph in this dataset: 0.0 kJ per mole of atoms.

The structure belongs to space group Amm2 (No. 38); the cell edges are 4.747, 8.702 and 4.884 Å and the angles 90.00°, 90.00° and 90.00°. Symmetry generates all atoms from Mg at (0.000, 0.000, 0.000), Te at (0.500, 0.000, 0.412), Pd at (0.000, 0.164, 0.518) and Pd at (0.500, 0.164, 0.891).

=====

Entry 10:
A plane-wave DFT calculation with PBE was carried out for a relaxed structure of Mg2TePd8.

The raw total energy comes out at -4.76 eV per atom.

The structure belongs to space group C2/m (No. 12); the cell edges are 15.061, 4.574 and 5.822 Å and the angles 90.00°, 112.55° and 90.00°. Symmetry generates all atoms from Mg at (0.187, 0.000, 0.186), Te at (0.000, 0.500, 0.500), Pd at (0.000, 0.000, 0.240), Pd at (0.147, 0.500, 0.911), Pd at (0.148, 0.500, 0.386) and Pd at (0.180, 0.000, 0.681).

=====

Entry 11:
A plane-wave DFT calculation with PBE was carried out for a relaxed structure of MgTePd3.

As for the energy above the most stable polymorph in this dataset: 0.0 kJ per mole of atoms.

The structure belongs to space group Pmmn (No. 59, origin choice 2); the cell edges are 4.385, 5.659 and 7.391 Å and the angles 90.00°, 90.00° and 90.00°. Symmetry generates all atoms from Mg at (0.250, 0.250, 0.122), Te at (0.250, 0.750, 0.428), Pd at (0.250, 0.005, 0.740) and Pd at (0.250, 0.750, 0.073).

=====

Entry 12:
A plane-wave DFT calculation with PBE was carried out for a relaxed structure of Mg2TePd9.

The raw total energy comes out at -4.82 eV per atom.

The structure belongs to space group P4/mmm (No. 123); the cell edges are 4.000, 4.000 and 12.058 Å and the angles 90.00°, 90.00° and 90.00°. Symmetry generates all atoms from Mg at (0.000, 0.000, 0.161), Te at (0.000, 0.000, 0.500), Pd at (0.000, 0.500, 0.000), Pd at (0.000, 0.500, 0.329), Pd at (0.500, 0.500, 0.165) and Pd at (0.500, 0.500, 0.500).

=====

Entry 13:
A plane-wave DFT calculation with PBE was carried out for a relaxed structure of Mg2TePd4.

The raw total energy comes out at -4.29 eV per atom.

The structure belongs to space group I4/mmm (No. 139); the cell edges are 6.168, 6.168 and 6.717 Å and the angles 90.00°, 90.00° and 90.00°. Symmetry generates all atoms from Mg at (0.000, 0.500, 0.000), Te at (0.000, 0.000, 0.000) and Pd at (0.250, 0.250, 0.250).

=====

Entry 14:
A plane-wave DFT calculation with PBE was carried out for a relaxed structure of Th2MgPd.

The value obtained for the formation energy is -0.275 eV/atom. As for the energy above the most stable polymorph in this dataset: 0.0 kJ per mole of atoms.

The structure belongs to space group P2_1/m (No. 11); the cell edges are 3.588, 9.907 and 6.208 Å and the angles 90.00°, 106.79° and 90.00°. Symmetry generates all atoms from Th at (0.128, 0.055, 0.257), Mg at (0.425, 0.250, 0.849) and Pd at (0.259, 0.750, 0.517).

=====

Entry 15:
A plane-wave DFT calculation with PBE was carried out for a relaxed structure of Th2MgPd.

The value obtained for the formation energy is -0.268 eV/atom. As for the energy above the most stable polymorph in this dataset: 0.6 kJ per mole of atoms.

The structure belongs to space group P4/mmm (No. 123); the cell edges are 3.751, 3.751 and 7.382 Å and the angles 90.00°, 90.00° and 90.00°. Symmetry generates all atoms from Th at (0.000, 0.000, 0.229), Mg at (0.500, 0.500, 0.500) and Pd at (0.500, 0.500, 0.000).

=====

Entry 16:
A plane-wave DFT calculation with PBE was carried out for a relaxed structure of ThMg2Pd.

The value obtained for the formation energy is -0.318 eV/atom.

The structure belongs to space group P4/mmm (No. 123); the cell edges are 3.297, 3.297 and 8.082 Å and the angles 90.00°, 90.00° and 90.00°. Symmetry generates all atoms from Th at (0.000, 0.000, 0.000), Mg at (0.500, 0.500, 0.315) and Pd at (0.000, 0.000, 0.500).

=====

Entry 17:
A plane-wave DFT calculation with PBE was carried out for a relaxed structure of ThMg5Pd2.

The value obtained for the formation energy is -0.419 eV/atom.

The structure belongs to space group Immm (No. 71); the cell edges are 3.990, 8.632 and 10.077 Å and the angles 90.00°, 90.00° and 90.00°. Symmetry generates all atoms from Th at (0.000, 0.000, 0.000), Mg at (0.000, 0.187, 0.343), Mg at (0.000, 0.500, 0.000) and Pd at (0.000, 0.500, 0.282).

=====

Entry 18:
A plane-wave DFT calculation with PBE was carried out for a relaxed structure of Th3Mg2Pd6.

The value obtained for the formation energy is -0.706 eV/atom.

The structure belongs to space group Im-3m (No. 229); the cell edges are 9.693, 9.693 and 9.693 Å and the angles 90.00°, 90.00° and 90.00°. Symmetry generates all atoms from Th at (0.000, 0.000, 0.287), Mg at (0.250, 0.250, 0.250) and Pd at (0.000, 0.342, 0.342).

=====

Entry 19:
A plane-wave DFT calculation with PBE was carried out for a relaxed structure of ThMg2Pd6.

The value obtained for the formation energy is -0.540 eV/atom.

The structure belongs to space group P-1 (No. 2); the cell edges are 4.706, 6.413 and 6.424 Å and the angles 72.73°, 68.71° and 68.57°. Symmetry generates all atoms from Th at (0.000, 0.000, 0.000), Mg at (0.345, 0.655, 0.654), Pd at (0.179, 0.127, 0.515), Pd at (0.180, 0.514, 0.127) and Pd at (0.500, 0.208, 0.792).

=====

Entry 20:
A plane-wave DFT calculation with PBE was carried out for a relaxed structure of Th3MgPd12.

The value obtained for the formation energy is -0.865 eV/atom.

The structure belongs to space group P4/mmm (No. 123); the cell edges are 4.191, 4.191 and 16.383 Å and the angles 90.00°, 90.00° and 90.00°. Symmetry generates all atoms from Th at (0.000, 0.000, 0.000), Th at (0.000, 0.000, 0.263), Mg at (0.000, 0.000, 0.500), Pd at (0.000, 0.500, 0.128), Pd at (0.000, 0.500, 0.383), Pd at (0.500, 0.500, 0.000), Pd at (0.500, 0.500, 0.254) and Pd at (0.500, 0.500, 0.500).